No. 1
Computed, not measured: crystalline Sc4AgHgAu2 at its relaxed geometry at the PBE level of DFT.

Computed properties:
SG = R-3m, No. 166
ρ = 9008 kg/m3
crystal system = trigonal
uncorrected energy = -4.95 eV/atom

```
8
Lattice="2.429 1.402 7.959 -2.429 1.402 7.959 0.000 -2.804 7.959" Properties=species:S:1:pos:R:3 pbc="T T T"
Sc 0.000 0.000 2.953
Sc 0.000 0.000 8.931
Sc 0.000 0.000 14.946
Sc 0.000 0.000 20.924
Ag 0.000 0.000 0.000
Hg 0.000 0.000 11.938
Au 0.000 0.000 6.024
Au 0.000 0.000 17.852
```

=====

No. 2
Computed, not measured: crystalline IOF4 at its relaxed geometry at the PBE level of DFT.

Computed properties:
SG = P1, No. 1
ρ = 2831 kg/m3
crystal system = triclinic
uncorrected energy = -3.46 eV/atom
formation energy (no corrections) = -25.92 kcal/mol of atoms

```
12
Lattice="4.553 0.000 0.000 -1.702 7.596 0.000 -1.144 -2.129 7.425" Properties=species:S:1:pos:R:3 pbc="T T T"
I 0.000 0.000 0.000
I 0.431 2.762 3.944
O -0.670 6.302 3.815
O 2.209 -0.937 3.865
F -0.908 1.706 2.972
F 1.342 0.696 1.251
F 0.457 1.386 5.336
F 0.778 3.791 2.321
F 0.043 4.819 6.520
F 2.091 3.551 4.742
F 2.863 -0.300 7.013
F 3.018 5.843 0.847
```

=====

No. 3
Computed, not measured: crystalline Pm3YAg4 at its relaxed geometry at the PBE level of DFT.

Computed properties:
SG = P4/mmm, No. 123
ρ = 7779 kg/m3
crystal system = tetragonal
uncorrected energy = -4.30 eV/atom

```
8
Lattice="3.699 0.000 0.000 0.000 3.699 0.000 0.000 0.000 14.905" Properties=species:S:1:pos:R:3 pbc="T T T"
Pm 0.000 0.000 0.000
Pm 0.000 0.000 3.769
Pm 0.000 0.000 11.137
Y 0.000 0.000 7.453
Ag 1.850 1.850 1.879
Ag 1.850 1.850 5.699
Ag 1.850 1.850 9.207
Ag 1.850 1.850 13.027
```

=====

Q: Look up the uncorrected energy of the third one.
A: -4.30 eV/atom